Entry 1:
A geometry-optimized BaMnH2O structure, computed with GGA+U.

abc: 4.027 4.027 4.290
angles: 90.00 90.00 90.00
Positions (direct):
1 Ba 0.000 0.000 0.000
2 Mn 0.500 0.500 0.500
3 H 0.000 0.500 0.500
4 H 0.500 0.000 0.500
5 O 0.500 0.500 0.000

**E**: -5.23 eV per atom

Entry 2:
A geometry-optimized Ba2MnV2HO9 structure, computed with GGA+U.

abc: 7.981 6.349 9.149
angles: 90.00 111.77 90.00
Positions (direct):
1 Ba 0.176 0.250 0.090
2 Ba 0.233 0.750 0.741
3 Ba 0.767 0.250 0.259
4 Ba 0.824 0.750 0.910
5 Mn 0.500 0.000 0.500
6 Mn 0.500 0.500 0.500
7 V 0.051 0.750 0.326
8 V 0.451 0.750 0.169
9 V 0.549 0.250 0.831
10 V 0.949 0.250 0.674
11 H 0.241 0.250 0.489
12 H 0.759 0.750 0.511
13 O 0.007 0.031 0.796
14 O 0.007 0.469 0.796
15 O 0.068 0.250 0.551
16 O 0.231 0.750 0.047
17 O 0.287 0.750 0.449
18 O 0.337 0.250 0.440
19 O 0.427 0.250 0.949
20 O 0.495 0.513 0.285
21 O 0.495 0.987 0.285
22 O 0.505 0.013 0.715
23 O 0.505 0.487 0.715
24 O 0.573 0.750 0.051
25 O 0.663 0.750 0.560
26 O 0.713 0.250 0.551
27 O 0.769 0.250 0.953
28 O 0.932 0.750 0.449
29 O 0.993 0.531 0.204
30 O 0.993 0.969 0.204

**E**: -7.15 eV per atom